Density functional theory data (GGA-PBE) for BClF3 after structural relaxation. Values from VASP.

Quantum ESPRESSO input file:
```
&SYSTEM
  ibrav = 0, nat = 5, ntyp = 3
/
ATOMIC_SPECIES
F 19.00 F.upf
B 10.81 B.upf
Cl 35.45 Cl.upf
CELL_PARAMETERS angstrom
-0.771 -2.791 2.266
2.479 -2.091 -1.732
2.603 1.164 2.320
ATOMIC_POSITIONS angstrom
F -0.386 -1.395 1.133
B 0.000 0.000 0.000
F 1.239 -1.045 -0.866
F 1.302 0.582 1.160
Cl 2.155 -1.859 1.427
```

Calculated values
The formation energy (no corrections) is -398 meV per atom. The calculated volume comes out at 49.7 Å³/cell. The space group is Pm-3m, No. 221. The value obtained for the energy is -3.225 eV per atom.